Record 1
Compound: Nb2BPAu
Source: the Alexandria database
Functional: meta-GGA SCAN
Structure: single point on PBEsol structure

Unit cell a=4.367 b=4.593 c=4.593 alpha=90.00 beta=90.00 gamma=90.00
Positions (direct):
Nb: 0.000 0.000 0.500
Nb: 0.000 0.500 0.000
B: 0.500 0.500 0.500
P: 0.000 0.000 0.000
Au: 0.500 0.000 0.000

Output
Energy of formation, eV/f.u.: 5.278
Density of states at the Fermi level, states/eV per cell: 2.8
SG: No. 123


Record 2
Compound: LiPSe2
Source: the Alexandria database
Functional: meta-GGA SCAN
Structure: single point on PBEsol structure

Unit cell a=3.549 b=2.930 c=7.035 alpha=89.94 beta=90.00 gamma=90.00
Positions (direct):
Li: 0.500 0.000 0.500
P: 0.500 0.500 0.000
Se: 0.000 0.501 0.258
Se: 0.000 0.499 0.742

Output
Density of states at the Fermi level, states/eV per cell: 0.8
SG: No. 47
E_form (uncorrected), eV per atom: -0.20


Record 3
Compound: BaSr2
Source: the Alexandria database
Functional: meta-GGA SCAN
Structure: single point on PBEsol structure

Unit cell a=4.071 b=6.805 c=6.805 alpha=120.00 beta=90.00 gamma=90.00
Positions (direct):
Sr: 0.000 0.667 0.333
Sr: 0.000 0.333 0.667
Ba: 0.500 0.000 0.000

Output
Energy of formation, eV/f.u.: 0.171
Density of states at the Fermi level, states/eV per cell: 3.8
SG: No. 191
Excess energy over the best structure of this formula in the dataset, meV/atom: 67


Record 4
Compound: ZrMn3F
Source: the Alexandria database
Functional: meta-GGA SCAN
Structure: single point on PBEsol structure

Unit cell a=4.172 b=4.172 c=4.172 alpha=90.00 beta=90.00 gamma=90.00
Positions (direct):
Mn: 0.500 0.000 0.000
Mn: 0.000 0.000 0.500
Mn: 0.000 0.500 0.000
F: 0.000 0.000 0.000
Zr: 0.500 0.500 0.500

Output
Density of states at the Fermi level, states/eV per cell: 1.9
SG: No. 221
E_form (uncorrected), eV per atom: -0.38


Record 5
Compound: Bi10Mo3O24
Source: the Alexandria database
Functional: meta-GGA SCAN
Structure: single point on PBEsol structure

Unit cell a=5.631 b=8.642 c=12.112 alpha=95.24 beta=103.44 gamma=90.00
Positions (direct):
O: 0.004 0.652 0.551
O: 0.128 0.941 0.880
O: 0.640 0.587 0.788
O: 0.239 0.649 0.346
O: 0.970 0.316 0.449
O: 0.131 0.581 0.782
O: 0.521 0.918 0.787
O: 0.453 0.348 0.449
O: 0.378 0.996 0.344
O: 0.797 0.833 0.347
O: 0.451 0.167 0.653
O: 0.521 0.684 0.551
O: 0.298 0.228 0.854
O: 0.894 0.351 0.654
O: 0.224 0.500 0.000
O: 0.035 0.004 0.656
O: 0.708 0.500 0.000
O: 0.444 0.772 0.146
O: 0.849 0.837 0.026
O: 0.249 0.059 0.120
O: 0.349 0.419 0.218
O: 0.734 0.082 0.213
O: 0.823 0.163 0.974
O: 0.852 0.413 0.212
Bi: 0.724 0.183 0.525
Bi: 0.527 0.322 0.075
Bi: 0.823 0.750 0.702
Bi: 0.453 0.678 0.925
Bi: 0.611 0.547 0.388
Bi: 0.200 0.817 0.475
Bi: 0.120 0.250 0.298
Bi: 0.223 0.453 0.612
Bi: 0.914 0.406 0.849
Bi: 0.064 0.594 0.151
Mo: 0.567 0.928 0.250
Mo: 0.317 0.072 0.750
Mo: 0.008 0.000 0.000

Output
Density of states at the Fermi level, states/eV per cell: 0.0
SG: No. 5
E_form (uncorrected), eV per atom: -1.53


Record 6
Compound: HoZrSb
Source: the Alexandria database
Functional: meta-GGA SCAN
Structure: single point on PBEsol structure

Unit cell a=4.200 b=4.200 c=8.710 alpha=103.96 beta=103.96 gamma=90.00
Positions (direct):
Ho: 0.677 0.677 0.354
Ho: 0.323 0.323 0.646
Sb: 0.134 0.134 0.268
Sb: 0.866 0.866 0.732
Zr: 0.000 0.500 0.000
Zr: 0.500 0.000 0.000

Output
Density of states at the Fermi level, states/eV per cell: 5.6
SG: No. 139
E_form (uncorrected), eV per atom: -0.87


Record 7
Compound: YMnSi
Source: the Alexandria database
Functional: meta-GGA SCAN
Structure: single point on PBEsol structure

Unit cell a=3.876 b=3.876 c=7.066 alpha=90.00 beta=90.00 gamma=90.00
Positions (direct):
Y: 0.500 0.000 0.169
Y: 0.000 0.500 0.831
Si: 0.000 0.500 0.300
Si: 0.500 0.000 0.700
Mn: 0.500 0.500 0.500
Mn: 0.000 0.000 0.500

Output
Density of states at the Fermi level, states/eV per cell: 3.0
SG: No. 129
E_form (uncorrected), eV per atom: -0.68


Record 8
Compound: CoSi2Se
Source: the Alexandria database
Functional: meta-GGA SCAN
Structure: single point on PBEsol structure

Unit cell a=4.080 b=4.409 c=4.080 alpha=62.44 beta=90.00 gamma=117.56
Positions (direct):
Si: 0.250 0.500 0.250
Si: 0.000 0.000 0.000
Co: 0.500 0.000 0.500
Se: 0.750 0.500 0.750

Output
Density of states at the Fermi level, states/eV per cell: 2.7
SG: No. 119
E_form (uncorrected), eV per atom: 0.69